First-principles (GGA-PBE) data for a geometry-optimized Ce4Al3Ga16 structure, as listed in Alexandria.

abc: 6.431 6.431 11.083
angles: 90.00 90.00 90.00
Positions (direct):
Ce (0.000, 0.500, 0.191)
Ce (0.000, 0.500, 0.809)
Ce (0.500, 0.000, 0.191)
Ce (0.500, 0.000, 0.809)
Al (0.000, 0.000, 0.000)
Al (0.000, 0.500, 0.500)
Al (0.500, 0.000, 0.500)
Ga (0.000, 0.000, 0.245)
Ga (0.000, 0.000, 0.755)
Ga (0.263, 0.263, 0.376)
Ga (0.263, 0.263, 0.624)
Ga (0.263, 0.737, 0.376)
Ga (0.263, 0.737, 0.624)
Ga (0.293, 0.293, 0.000)
Ga (0.293, 0.707, 0.000)
Ga (0.500, 0.500, 0.197)
Ga (0.500, 0.500, 0.803)
Ga (0.707, 0.293, 0.000)
Ga (0.707, 0.707, 0.000)
Ga (0.737, 0.263, 0.376)
Ga (0.737, 0.263, 0.624)
Ga (0.737, 0.737, 0.376)
Ga (0.737, 0.737, 0.624)

Calculated values
Symmetry: P4/mmm
Electronic total energy: -3.9878 eV per atom